(1)
First-principles (PBE-GGA) data for a geometry-optimized PaCu2PbO8 structure, as listed in the Alexandria database.

Cell and atoms, written as POSCAR:
```
PaCu2PbO8
1.0
-3.487 3.487 3.346
3.487 -3.487 3.346
3.487 3.487 -3.346
Pa Cu Pb O
1 2 1 8
Direct
0.000 0.000 0.000
0.250 0.750 0.500
0.500 0.500 0.000
0.750 0.250 0.500
0.048 0.365 0.317
0.048 0.731 0.683
0.117 0.294 0.823
0.269 0.952 0.317
0.470 0.294 0.177
0.635 0.952 0.683
0.706 0.530 0.823
0.706 0.883 0.177
```

Results
E_tot ... -6.28 eV/atom
Symmetry ... I-4m2, No. 119
ΔE_f (raw) ... -1.19 eV per atom

=====

(2)
First-principles (PBE-GGA) data for a geometry-optimized Ac8Si2Rh structure, as listed in the Alexandria database.

Cell and atoms, written as POSCAR:
```
Ac8Si2Rh
1.0
9.829 -2.176 0.000
9.829 2.176 0.000
-1.334 0.000 9.550
Ac Si Rh
8 2 1
Direct
0.004 0.004 0.207
0.219 0.219 0.339
0.343 0.343 0.004
0.401 0.401 0.455
0.599 0.599 0.545
0.657 0.657 0.996
0.781 0.781 0.661
0.996 0.996 0.793
0.178 0.178 0.760
0.822 0.822 0.240
0.500 0.500 0.000
```

Results
E_tot ... -4.95 eV/atom
Symmetry ... C2/m, No. 12
ΔE_f (raw) ... -0.31 eV per atom

=====

(3)
First-principles (PBE-GGA) data for a geometry-optimized TaIrS2 structure, as listed in the Alexandria database.

Cell and atoms, written as POSCAR:
```
TaIrS2
1.0
-2.727 2.727 5.227
2.727 -2.727 5.227
2.727 2.727 -5.227
Ta Ir S
2 2 4
Direct
0.000 0.000 0.000
0.750 0.250 0.500
0.250 0.750 0.500
0.500 0.500 0.000
0.135 0.625 0.010
0.375 0.385 0.510
0.615 0.125 0.990
0.875 0.865 0.490
```

Results
E above lowest polymorph ... 0.314 eV/atom
E_tot ... -7.36 eV/atom
Symmetry ... I-42d, No. 122
ΔE_f (raw) ... -0.12 eV per atom

=====

(4)
First-principles (PBE-GGA) data for a geometry-optimized Fe2PbCl structure, as listed in the Alexandria database.

Cell and atoms, written as POSCAR:
```
Fe2PbCl
1.0
0.000 3.374 3.374
3.374 0.000 3.374
3.374 3.374 0.000
Fe Pb Cl
2 1 1
Direct
0.000 0.000 0.000
0.250 0.250 0.250
0.750 0.750 0.750
0.500 0.500 0.500
```

Results
E above lowest polymorph ... 0.713 eV/atom
E_tot ... -4.84 eV/atom
Symmetry ... F-43m, No. 216
ΔE_f (raw) ... 0.78 eV per atom

=====

(5)
First-principles (PBE-GGA) data for a geometry-optimized CdHg2F4 structure, as listed in the Alexandria database.

Cell and atoms, written as POSCAR:
```
CdHg2F4
1.0
-2.434 2.434 5.675
2.434 -2.434 5.675
2.434 2.434 -5.675
Cd Hg F
1 2 4
Direct
0.000 0.000 0.000
0.384 0.384 0.000
0.616 0.616 0.000
0.000 0.500 0.500
0.193 0.193 0.000
0.500 0.000 0.500
0.807 0.807 0.000
```

Results
E above lowest polymorph ... 0.098 eV/atom
E_tot ... -2.75 eV/atom
Symmetry ... I4/mmm, No. 139
ΔE_f (raw) ... -1.46 eV per atom

=====

(6)
First-principles (PBE-GGA) data for a geometry-optimized LaTmScSe3 structure, as listed in the Alexandria database.

Cell and atoms, written as POSCAR:
```
LaTmScSe3
1.0
7.993 0.000 0.000
0.000 4.052 0.000
-2.723 0.000 9.499
La Tm Sc Se
2 2 2 6
Direct
0.193 0.250 0.221
0.807 0.750 0.779
0.332 0.750 0.904
0.668 0.250 0.096
0.153 0.250 0.619
0.847 0.750 0.381
0.092 0.250 0.886
0.208 0.750 0.461
0.490 0.750 0.201
0.510 0.250 0.799
0.792 0.250 0.539
0.908 0.750 0.114
```

Results
E_tot ... -6.00 eV/atom
Symmetry ... P2_1/m, No. 11
ΔE_f (raw) ... -1.63 eV per atom

=====

(7)
First-principles (PBE-GGA) data for a geometry-optimized CaDyY2Rh4 structure, as listed in the Alexandria database.

Cell and atoms, written as POSCAR:
```
CaDyY2Rh4
1.0
2.423 1.399 7.917
-2.423 1.399 7.917
0.000 -2.797 7.917
Ca Dy Y Rh
1 1 2 4
Direct
0.000 0.000 0.000
0.500 0.500 0.500
0.252 0.252 0.252
0.748 0.748 0.748
0.128 0.128 0.128
0.378 0.378 0.378
0.622 0.622 0.622
0.872 0.872 0.872
```

Results
Formation enthalpy at 0 K ... -5.99 eV per formula unit
E_tot ... -6.87 eV/atom
Symmetry ... R-3m, No. 166

=====

(8)
First-principles (PBE-GGA) data for a geometry-optimized ZrTc2P structure, as listed in the Alexandria database.

Cell and atoms, written as POSCAR:
```
ZrTc2P
1.0
1.626 0.939 7.263
-1.626 0.939 7.263
0.000 -1.878 7.263
Zr Tc P
1 2 1
Direct
0.000 0.000 0.000
0.233 0.233 0.233
0.767 0.767 0.767
0.500 0.500 0.500
```

Results
Formation enthalpy at 0 K ... -0.47 eV per formula unit
E_tot ... -8.79 eV/atom
Symmetry ... R-3m, No. 166